Record 1
DFT (GGA-PBE) results for an optimized crystal structure of NaSrNdMg.

As for the space group: No. 216. For the energy of formation, the calculation gives 0.119 eV per atom.

The structure in POSCAR format:
```
NaSrNdMg
1.0
-2.0040 -1.0635 5.3929
0.5836 -5.3307 2.3393
3.7583 -0.8687 4.3989
Sr Nd Mg Na
1 1 1 1
direct
0.0000 0.0000 0.0000
0.5000 0.5000 0.5000
0.2500 0.2500 0.2500
0.7500 0.7500 0.7500
```

Record 2
DFT (GGA-PBE) results for an optimized crystal structure of ZrTaAl2.

As for the space group: No. 122. For the energy above the lowest structure with this stoichiometry, the calculation gives 481 meV/atom. For the energy of formation, the calculation gives 0.152 eV per atom.

The structure in POSCAR format:
```
ZrTaAl2
1.0
-4.3661 -5.8339 -1.2304
5.6817 -4.5334 1.3334
-0.0395 -5.2447 2.8150
Al Ta Zr
4 2 2
direct
0.6358 0.1250 0.2500
0.8750 0.8858 0.7500
0.3750 0.3642 0.7500
0.1142 0.6250 0.2500
0.0000 0.0000 0.0000
0.7500 0.2500 0.5000
0.5000 0.5000 0.0000
0.2500 0.7500 0.5000
```

Record 3
DFT (GGA-PBE) results for an optimized crystal structure of Pm4Sn3Rh.

As for the space group: No. 25. For the energy of formation, the calculation gives -0.719 eV per atom.

The structure in POSCAR format:
```
Pm4Sn3Rh
1.0
-2.2128 3.5413 -1.5226
-3.4648 -1.0618 2.5661
4.2979 6.3018 8.4107
Rh Sn Pm
1 3 4
direct
0.5000 0.5000 0.0822
0.0000 0.5000 0.5918
0.5000 0.0000 0.9242
0.0000 0.0000 0.4127
0.0000 0.0000 0.1344
0.5000 0.0000 0.6408
0.5000 0.5000 0.3353
0.0000 0.5000 0.8786
```

Record 4
DFT (GGA-PBE) results for an optimized crystal structure of SrTe2IrO8.

As for the space group: No. 2. The formation energy from raw total energies is -1.193 eV/atom.

The structure in POSCAR format:
```
SrTe2IrO8
1.0
-1.7719 3.4259 4.3476
0.1970 -3.8000 3.1594
6.1989 2.6295 2.0976
Ir Te O Sr
1 2 8 1
direct
0.0000 0.0000 0.0000
0.3962 0.4946 0.7567
0.6038 0.5054 0.2433
0.6695 0.6957 0.4662
0.8402 0.1812 0.8423
0.2745 0.2450 0.9467
0.1285 0.7413 0.7665
0.3305 0.3043 0.5338
0.1598 0.8188 0.1577
0.8715 0.2587 0.2335
0.7255 0.7550 0.0533
0.0000 0.0000 0.5000
```

Record 5
DFT (GGA-PBE) results for an optimized crystal structure of CdSnPt3.

As for the space group: No. 221. For the energy above the lowest structure with this stoichiometry, the calculation gives 309 meV/atom. For the energy of formation, the calculation gives 0.969 eV per atom.

The structure in POSCAR format:
```
CdSnPt3
1.0
-4.3830 -1.9903 1.2308
0.7525 -3.6732 -3.2601
2.2158 -2.6894 3.5417
Sn Cd Pt
1 1 3
direct
0.5000 0.5000 0.5000
0.0000 0.0000 0.0000
0.0000 0.5000 0.0000
0.0000 0.0000 0.5000
0.5000 0.0000 0.0000
```

Record 6
DFT (GGA-PBE) results for an optimized crystal structure of MgInNi2.

As for the space group: No. 44. For the energy of formation, the calculation gives -0.107 eV per atom.

The structure in POSCAR format:
```
MgInNi2
1.0
5.1304 0.0007 -0.0114
2.3849 4.5424 0.0114
-3.4382 -2.8000 2.5807
Ni In Mg
2 1 1
direct
0.0167 0.0167 0.0000
0.2374 0.7374 0.5000
0.4862 0.4862 0.0000
0.7597 0.2597 0.5000
```

Record 7
DFT (GGA-PBE) results for an optimized crystal structure of Mg2BiBr.

As for the space group: No. 2. The formation energy from raw total energies is -0.594 eV/atom. For the energy above the lowest structure with this stoichiometry, the calculation gives 44 meV/atom.

The structure in POSCAR format:
```
Mg2BiBr
1.0
-4.9234 0.5461 1.9892
0.9682 -4.7265 3.6914
4.5991 6.4810 2.4451
Br Bi Mg
2 2 4
direct
0.6490 0.4153 0.2963
0.3510 0.5847 0.7037
0.1144 0.8649 0.2278
0.8856 0.1351 0.7722
0.6863 0.0236 0.3718
0.9122 0.6589 0.8272
0.0878 0.3411 0.1728
0.3137 0.9764 0.6282
```

Record 8
DFT (GGA-PBE) results for an optimized crystal structure of Ce2ErRh3.

As for the space group: No. 15. For the energy of formation, the calculation gives -0.699 eV per atom.

The structure in POSCAR format:
```
Ce2ErRh3
1.0
5.6935 0.0000 0.0000
0.0000 7.8535 -0.0015
-2.8468 -1.9671 5.9767
Rh Ce Er
6 4 2
direct
0.8151 0.4124 0.6638
0.1849 0.5876 0.3362
0.5616 0.2500 0.0000
0.4384 0.7500 0.0000
0.1513 0.0876 0.3362
0.8487 0.9124 0.6638
0.3480 0.9180 0.6655
0.3175 0.4180 0.6655
0.6825 0.5820 0.3345
0.6520 0.0820 0.3345
0.0599 0.2500 0.0000
0.9401 0.7500 0.0000
```

Record 9
DFT (GGA-PBE) results for an optimized crystal structure of La5CeTl6.

As for the space group: No. 2. For the energy of formation, the calculation gives -0.384 eV per atom.

The structure in POSCAR format:
```
La5CeTl6
1.0
-0.1754 -3.8949 4.0619
7.7063 -3.3849 4.8862
2.8516 4.4150 8.1814
Tl La Ce
6 5 1
direct
0.7447 0.7552 0.0000
0.7524 0.0822 0.3305
0.2553 0.2448 0.0000
0.2476 0.9178 0.6695
0.7525 0.4128 0.6694
0.2475 0.5872 0.3306
0.5000 0.5000 0.0000
0.4999 0.8316 0.3369
0.9999 0.6656 0.6688
0.0001 0.3344 0.3312
0.5001 0.1684 0.6631
0.0000 0.0000 0.0000
```

Record 10
DFT (GGA-PBE) results for an optimized crystal structure of La2Pm6Tm.

As for the space group: No. 58. For the energy above the lowest structure with this stoichiometry, the calculation gives 0 meV/atom. For the energy of formation, the calculation gives 0.022 eV per atom.

The structure in POSCAR format:
```
La2Pm6Tm
1.0
10.9624 0.0000 0.0000
0.0000 5.1539 0.4517
0.0000 4.1968 11.3950
Pm La Tm
12 4 2
direct
0.6670 0.5003 0.4999
0.3330 0.4997 0.5001
0.8324 0.1671 0.3327
0.0001 0.1674 0.8329
0.9999 0.8326 0.1671
0.5001 0.8326 0.6671
0.1676 0.8329 0.6673
0.1670 0.4997 0.0001
0.8330 0.5003 0.9999
0.6676 0.1671 0.8327
0.3324 0.8329 0.1673
0.4999 0.1674 0.3329
0.6641 0.8354 0.1644
0.3359 0.1646 0.8356
0.8359 0.8354 0.6644
0.1641 0.1646 0.3356
0.0000 0.5000 0.5000
0.5000 0.5000 0.0000
```

Record 11
DFT (GGA-PBE) results for an optimized crystal structure of MgMnRu2C.

As for the space group: No. 123. For the energy of formation, the calculation gives -0.014 eV per atom.

The structure in POSCAR format:
```
MgMnRu2C
1.0
4.0981 0.0000 0.0000
0.0000 4.0981 0.0000
0.0000 0.0000 3.8629
C Mn Ru Mg
1 1 2 1
direct
0.0000 0.0000 0.0000
0.0000 0.0000 0.5000
0.5000 0.0000 0.0000
0.0000 0.5000 0.0000
0.5000 0.5000 0.5000
```

Record 12
DFT (GGA-PBE) results for an optimized crystal structure of KMgIn2.

As for the space group: No. 123. For the energy of formation, the calculation gives 0.081 eV per atom.

The structure in POSCAR format:
```
KMgIn2
1.0
5.0297 0.0000 0.0000
0.0000 5.0297 0.0000
0.0000 0.0000 4.6831
K In Mg
1 2 1
direct
0.5000 0.0000 0.5000
0.5000 0.5000 0.0000
0.0000 0.0000 0.0000
0.0000 0.5000 0.5000
```

Record 13
DFT (GGA-PBE) results for an optimized crystal structure of Tb6Sm3Ho.

As for the space group: No. 36. For the energy above the lowest structure with this stoichiometry, the calculation gives 0 meV/atom. For the energy of formation, the calculation gives 0.148 eV per atom.

The structure in POSCAR format:
```
Tb6Sm3Ho
1.0
6.3285 0.0000 0.0000
0.0000 10.8301 -1.6289
0.0000 -4.0045 10.1935
Sm Ho Tb
6 2 12
direct
0.4618 0.2863 0.0606
0.5718 0.6122 0.3878
0.9618 0.0606 0.2863
0.4618 0.9394 0.7137
0.0718 0.3878 0.6122
0.9618 0.7137 0.9394
0.1297 0.1975 0.8025
0.6297 0.8025 0.1975
0.0477 0.3784 0.2880
0.0477 0.7120 0.6216
0.8816 0.0406 0.9594
0.5477 0.2880 0.3784
0.3676 0.5298 0.9490
0.5477 0.6216 0.7120
0.8676 0.4702 0.0510
0.1481 0.7255 0.2745
0.3676 0.0510 0.4702
0.3816 0.9594 0.0406
0.8676 0.9490 0.5298
0.6481 0.2745 0.7255
```

Record 14
DFT (GGA-PBE) results for an optimized crystal structure of Al2SnCl.

As for the space group: No. 225. The formation energy from raw total energies is 0.033 eV/atom. For the energy above the lowest structure with this stoichiometry, the calculation gives 0 meV/atom.

The structure in POSCAR format:
```
Al2SnCl
1.0
0.0000 3.4878 3.4878
3.4878 0.0000 3.4878
3.4878 3.4878 0.0000
Al Cl Sn
2 1 1
direct
0.2500 0.2500 0.2500
0.7500 0.7500 0.7500
0.0000 0.0000 0.0000
0.5000 0.5000 0.5000
```

Record 15
DFT (GGA-PBE) results for an optimized crystal structure of SmTh2In.

As for the space group: No. 123. For the energy above the lowest structure with this stoichiometry, the calculation gives 143 meV/atom. For the energy of formation, the calculation gives -0.045 eV per atom.

The structure in POSCAR format:
```
SmTh2In
1.0
-2.3377 -0.4772 -2.5604
-0.3816 -3.3406 0.9711
-7.4811 2.6940 6.3283
Th Sm In
2 1 1
direct
0.0000 0.0000 0.2322
0.0000 0.0000 0.7678
0.5000 0.5000 0.5000
0.5000 0.5000 0.0000
```

Record 16
DFT (GGA-PBE) results for an optimized crystal structure of LiPrAlNi.

As for the space group: No. 216. For the energy of formation, the calculation gives -0.261 eV per atom.

The structure in POSCAR format:
```
LiPrAlNi
1.0
-3.4647 -2.7218 -1.5583
0.2035 -1.8061 -4.3055
0.7093 -4.5826 -0.5805
Pr Li Ni Al
1 1 1 1
direct
0.0000 0.0000 0.0000
0.7500 0.7500 0.7500
0.2500 0.2500 0.2500
0.5000 0.5000 0.5000
```

Record 17
DFT (GGA-PBE) results for an optimized crystal structure of ScAlTl.

As for the space group: No. 156. For the energy above the lowest structure with this stoichiometry, the calculation gives 0 meV/atom. For the energy of formation, the calculation gives -0.161 eV per atom.

The structure in POSCAR format:
```
ScAlTl
1.0
4.7124 0.0000 0.0000
-2.3562 4.0811 0.0000
0.0000 0.0000 3.3116
Al Tl Sc
1 1 1
direct
0.0000 0.0000 0.8350
0.3333 0.6667 0.8316
0.6667 0.3333 0.3334
```

Record 18
DFT (GGA-PBE) results for an optimized crystal structure of Ho7GeSe5.

As for the space group: No. 63. The formation energy from raw total energies is -1.482 eV/atom.

The structure in POSCAR format:
```
Ho7GeSe5
1.0
4.0302 0.0000 0.0000
-2.0151 6.5856 0.0078
0.0000 -0.0283 23.9576
Ho Ge Se
14 2 10
direct
0.9059 0.8118 0.3802
0.6390 0.2780 0.4620
0.1952 0.3904 0.1813
0.3611 0.7222 0.5379
0.6395 0.2790 0.0380
0.5349 0.0697 0.7499
0.9062 0.8125 0.1199
0.8056 0.6112 0.8187
0.8054 0.6107 0.6813
0.3616 0.7233 0.9620
0.0946 0.1893 0.8803
0.1949 0.3898 0.3187
0.0943 0.1886 0.6197
0.4657 0.9314 0.2500
0.8089 0.6177 0.2501
0.1917 0.3834 0.7500
0.2782 0.5564 0.0719
0.4477 0.8954 0.8560
0.7229 0.4458 0.9281
0.2777 0.5554 0.4281
0.0005 0.0011 0.0000
0.4474 0.8948 0.6439
0.5528 0.1056 0.3560
0.0001 0.0001 0.5000
0.5532 0.1064 0.1440
0.7225 0.4449 0.5719
```

Record 19
DFT (GGA-PBE) results for an optimized crystal structure of B2C3.

As for the space group: No. 8. For the energy above the lowest structure with this stoichiometry, the calculation gives 118 meV/atom. For the energy of formation, the calculation gives 0.354 eV per atom.

The structure in POSCAR format:
```
B2C3
1.0
0.1576 -3.5434 -2.9856
1.9160 -1.8769 -3.7816
4.8476 -4.6679 0.9361
B C
4 6
direct
0.5826 0.5826 0.6278
0.7920 0.7920 0.7408
0.9932 0.9932 0.0142
0.2221 0.2221 0.4299
0.4018 0.4018 0.6300
0.1970 0.1970 0.1910
0.4170 0.4170 0.3883
0.5952 0.5952 0.8582
0.0080 0.0080 0.2578
0.7912 0.7912 0.1119
```

Record 20
DFT (GGA-PBE) results for an optimized crystal structure of La5ThHg4.

As for the space group: No. 123. For the energy of formation, the calculation gives -0.394 eV per atom.

The structure in POSCAR format:
```
La5ThHg4
1.0
3.8394 0.0000 0.0000
0.0000 3.8394 0.0000
0.0000 0.0000 20.7483
La Hg Th
5 4 1
direct
0.5000 0.5000 0.6920
0.5000 0.5000 0.8871
0.5000 0.5000 0.1129
0.5000 0.5000 0.5000
0.5000 0.5000 0.3080
0.0000 0.0000 0.7903
0.0000 0.0000 0.4050
0.0000 0.0000 0.2097
0.0000 0.0000 0.5950
0.0000 0.0000 0.0000
```

Record 21
DFT (GGA-PBE) results for an optimized crystal structure of TbDy5Ho3.

As for the space group: No. 12. For the energy above the lowest structure with this stoichiometry, the calculation gives 385 meV/atom. For the energy of formation, the calculation gives 0.520 eV per atom.

The structure in POSCAR format:
```
TbDy5Ho3
1.0
-9.4059 0.5215 0.0970
-2.9071 -4.7324 -7.6096
-7.4397 -8.7656 -0.2979
Tb Ho Dy
2 6 10
direct
0.1516 0.1516 0.5967
0.8484 0.8484 0.4033
0.6593 0.6593 0.3598
0.3407 0.3407 0.6402
0.6909 0.6909 0.8184
0.0000 0.0000 0.0000
0.3091 0.3091 0.1816
0.0000 0.0000 0.5000
0.6519 0.1490 0.7479
0.8177 0.8177 0.9592
0.1490 0.6519 0.7479
0.3481 0.8510 0.2521
0.4913 0.4913 0.2326
0.2577 0.7423 0.0000
0.8510 0.3481 0.2521
0.1823 0.1823 0.0408
0.7423 0.2577 0.0000
0.5087 0.5087 0.7674
```

Record 22
DFT (GGA-PBE) results for an optimized crystal structure of Cs4Pm3HfTe8.

As for the space group: No. 166. The formation energy from raw total energies is -1.254 eV/atom.

The structure in POSCAR format:
```
Cs4Pm3HfTe8
1.0
-4.5540 -5.1686 -5.8957
-2.8724 -6.2961 7.7382
-2.1813 8.7482 0.9879
Cs Te Pm Hf
4 8 3 1
direct
0.5000 0.0000 0.5000
0.0000 0.0000 0.5000
0.0000 0.0000 0.0000
0.5000 0.0000 0.0000
0.7328 0.6983 0.4657
0.7807 0.3111 0.5615
0.2192 0.6889 0.9698
0.2494 0.3111 0.0302
0.2672 0.3017 0.5343
0.2193 0.6889 0.4385
0.7506 0.6889 0.9698
0.7808 0.3111 0.0302
0.5000 0.5000 0.0000
0.0000 0.5000 0.5000
0.5000 0.5000 0.5000
0.0000 0.5000 0.0000
```